The following is a GGA-PBE calculation of an optimized crystal structure of PaGeOs2, from the Alexandria database.

## Properties
symmetry: P4/mmm
ΔE to the lowest computed polymorph: 0.000 eV/atom
ΔH_f (0 K): -0.1626 eV per atom
M_tot: 0.00 μB per atom

Cell: 4.2921 4.2921 3.8027 Å, 90.00 90.00 90.00°
With the nearest neighbours (Å) after each atom.
Fractional positions:
Pa  0.0000  0.0000  0.0000  8 Os 2.87, 4 Ge 3.03
Ge  0.5000  0.5000  0.0000  8 Os 2.87, 4 Pa 3.03
Os  0.0000  0.5000  0.5000  4 Ge 2.87, 4 Pa 2.87, 4 Os 3.03
Os  0.5000  0.0000  0.5000  4 Ge 2.87, 4 Pa 2.87, 4 Os 3.03

The following is a GGA-PBE calculation of an optimized crystal structure of K2Tm2NpTe6, from the Alexandria database.

## Properties
symmetry: C2/m
formation energy (no corrections): -1154 meV/atom
M_tot: 0.27 μB per atom

Cell: 7.6137 7.6137 8.8219 Å, 98.32 98.32 120.05°
With the nearest neighbours (Å) after each atom.
Fractional positions:
K  0.1666  0.8334  0.0000  6 Te 3.56-3.57
K  0.8334  0.1666  0.0000  6 Te 3.56-3.57
Tm  0.3324  0.6676  0.5000  6 Te 3.06-3.07
Tm  0.6676  0.3324  0.5000  6 Te 3.06-3.07
Np  0.0000  0.0000  0.5000  6 Te 3.07-3.08
Te  0.0706  0.4024  0.7051  2 Tm 3.06-3.07, 1 Np 3.07
Te  0.2668  0.2668  0.2964  2 Tm 3.07, 1 Np 3.08
Te  0.4024  0.0706  0.7051  2 Tm 3.06-3.07, 1 Np 3.07
Te  0.5976  0.9294  0.2949  2 Tm 3.06-3.07, 1 Np 3.07
Te  0.7332  0.7332  0.7036  2 Tm 3.07, 1 Np 3.08
Te  0.9294  0.5976  0.2949  2 Tm 3.06-3.07, 1 Np 3.07

The following is a GGA-PBE calculation of an optimized crystal structure of CaGa3Cu3, from the Alexandria database.

## Properties
symmetry: R-3
ΔE to the lowest computed polymorph: 0.000 eV/atom
ΔH_f (0 K): -0.1880 eV per atom
M_tot: 0.00 μB per atom

Cell: 6.5974 6.5974 6.5974 Å, 71.95 71.95 71.95°
With the nearest neighbours (Å) after each atom.
Fractional positions:
Ca  0.1770  0.1770  0.1770  6 Cu 2.94-3.00, 6 Ga 3.21-3.27
Ca  0.8230  0.8230  0.8230  6 Cu 2.94-3.00, 6 Ga 3.21-3.27
Ga  0.0645  0.3613  0.6933  4 Cu 2.41-2.61
Ga  0.3067  0.9355  0.6387  4 Cu 2.41-2.61
Ga  0.3613  0.6933  0.0645  4 Cu 2.41-2.61
Ga  0.6387  0.3067  0.9355  4 Cu 2.41-2.61
Ga  0.6933  0.0645  0.3613  4 Cu 2.41-2.61
Ga  0.9355  0.6387  0.3067  4 Cu 2.41-2.61
Cu  0.1877  0.7192  0.4521  4 Ga 2.41-2.61, 2 Cu 2.47
Cu  0.2808  0.5479  0.8123  4 Ga 2.41-2.61, 2 Cu 2.47
Cu  0.4521  0.1877  0.7192  4 Ga 2.41-2.61, 2 Cu 2.47
Cu  0.5479  0.8123  0.2808  4 Ga 2.41-2.61, 2 Cu 2.47
Cu  0.7192  0.4521  0.1877  4 Ga 2.41-2.61, 2 Cu 2.47
Cu  0.8123  0.2808  0.5479  4 Ga 2.41-2.61, 2 Cu 2.47

The following is a GGA-PBE calculation of an optimized crystal structure of TmCdHg, from the Alexandria database.

## Properties
symmetry: I4mm
ΔH_f (0 K): -0.2724 eV per atom
M_tot: 0.03 μB per atom

Cell: 3.4465 3.4465 12.1063 Å, 90.00 90.00 90.00°
With the nearest neighbours (Å) after each atom.
Fractional positions:
Tm  0.0000  0.0000  0.0000  4 Hg 3.13, 4 Cd 3.23, 4 Tm 3.45
Tm  0.5000  0.5000  0.5000  4 Hg 3.13, 4 Cd 3.23, 4 Tm 3.45
Cd  0.0000  0.0000  0.3246  4 Hg 3.13, 4 Tm 3.23, 4 Cd 3.45
Cd  0.5000  0.5000  0.8246  4 Hg 3.13, 4 Tm 3.23, 4 Cd 3.45
Hg  0.0000  0.0000  0.6626  4 Cd 3.13, 4 Tm 3.13, 4 Hg 3.45
Hg  0.5000  0.5000  0.1626  4 Cd 3.13, 4 Tm 3.13, 4 Hg 3.45

The following is a GGA-PBE calculation of an optimized crystal structure of Tc2SbPt2, from the Alexandria database.

## Properties
symmetry: P4/mbm
formation energy (no corrections): 118 meV/atom
M_tot: 0.00 μB per atom

Cell: 6.6984 6.6984 3.8957 Å, 90.00 90.00 90.00°
With the nearest neighbours (Å) after each atom.
Fractional positions:
Tc  0.1309  0.3691  0.0000  1 Tc 2.48, 2 Sb 2.62, 4 Pt 2.72
Tc  0.3691  0.8691  0.0000  1 Tc 2.48, 2 Sb 2.62, 4 Pt 2.72
Tc  0.6309  0.1309  0.0000  1 Tc 2.48, 2 Sb 2.62, 4 Pt 2.72
Tc  0.8691  0.6309  0.0000  1 Tc 2.48, 2 Sb 2.62, 4 Pt 2.72
Sb  0.0000  0.0000  0.0000  4 Tc 2.62
Sb  0.5000  0.5000  0.0000  4 Tc 2.62
Pt  0.1512  0.6512  0.5000  6 Tc 2.72-2.84, 1 Pt 2.86
Pt  0.3488  0.1512  0.5000  6 Tc 2.72-2.84, 1 Pt 2.86
Pt  0.6512  0.8488  0.5000  6 Tc 2.72-2.84, 1 Pt 2.86
Pt  0.8488  0.3488  0.5000  6 Tc 2.72-2.84, 1 Pt 2.86

The following is a GGA-PBE calculation of an optimized crystal structure of SiMo2Cl, from the Alexandria database.

## Properties
symmetry: P4/mmm
formation energy (no corrections): 120 meV/atom
ΔE to the lowest computed polymorph: 0.125 eV/atom
M_tot: 0.00 μB per atom

Cell: 3.1865 3.1865 6.6504 Å, 90.00 90.00 90.00°
With the nearest neighbours (Å) after each atom.
Fractional positions:
Si  0.0000  0.0000  0.0000  8 Mo 2.56
Mo  0.5000  0.5000  0.1830  1 Mo 2.43, 4 Si 2.56
Mo  0.5000  0.5000  0.8170  1 Mo 2.43, 4 Si 2.56
Cl  0.0000  0.0000  0.5000  8 Mo 3.09, 4 Cl 3.19, 2 Si 3.33

The following is a GGA-PBE calculation of an optimized crystal structure of Co2TcGeCl, from the Alexandria database.

## Properties
symmetry: P4/mmm
formation energy (no corrections): 947 meV/atom
M_tot: 0.71 μB per atom

Cell: 4.0735 4.0735 4.5969 Å, 90.00 90.00 90.00°
With the nearest neighbours (Å) after each atom.
Fractional positions:
Co  0.0000  0.5000  0.0000  2 Cl 2.04
Co  0.5000  0.0000  0.0000  2 Cl 2.04
Tc  0.0000  0.0000  0.5000  2 Cl 2.30
Ge  0.5000  0.5000  0.5000  4 Tc 2.88, 8 Co 3.07
Cl  0.0000  0.0000  0.0000  4 Co 2.04

The following is a GGA-PBE calculation of an optimized crystal structure of CuMoBr2, from the Alexandria database.

## Properties
symmetry: Pm
formation energy (no corrections): 460 meV/atom
ΔE to the lowest computed polymorph: 0.277 eV/atom
M_tot: 0.75 μB per atom

Cell: 3.8103 3.5391 7.3123 Å, 90.00 105.09 90.00°
With the nearest neighbours (Å) after each atom.
Fractional positions:
Cu  0.0000  0.0000  0.0000  2 Br 2.50, 2 Mo 2.58
Mo  0.9852  0.5000  0.7409  2 Cu 2.58, 4 Br 2.73-2.81
Br  0.4011  0.0000  0.6052  4 Mo 2.73-2.81
Br  0.6518  0.5000  0.1182  2 Cu 2.50

The following is a GGA-PBE calculation of an optimized crystal structure of ZnCuAg2Os, from the Alexandria database.

## Properties
symmetry: P4/mmm
ΔE to the lowest computed polymorph: 0.000 eV/atom
ΔH_f (0 K): 1.2390 eV per atom
M_tot: 0.26 μB per atom

Cell: 4.6768 4.6768 4.6247 Å, 90.00 90.00 90.00°
With the nearest neighbours (Å) after each atom.
Fractional positions:
Zn  0.0000  0.0000  0.0000  8 Ag 3.29, 4 Os 3.31
Cu  0.5000  0.5000  0.5000  2 Os 2.31, 4 Ag 2.34
Ag  0.0000  0.5000  0.5000  2 Cu 2.34
Ag  0.5000  0.0000  0.5000  2 Cu 2.34
Os  0.5000  0.5000  0.0000  2 Cu 2.31

The following is a GGA-PBE calculation of an optimized crystal structure of CaTiS2, from the Alexandria database.

## Properties
symmetry: Fm-3m
formation energy (no corrections): -1232 meV/atom
ΔE to the lowest computed polymorph: 0.314 eV/atom
M_tot: 0.50 μB per atom

Cell: 6.6022 6.6022 6.6022 Å, 90.00 90.00 90.00°
With the nearest neighbours (Å) after each atom.
Fractional positions:
Ca  0.0000  0.0000  0.0000  8 S 2.86
Ca  0.0000  0.5000  0.5000  8 S 2.86
Ca  0.5000  0.0000  0.5000  8 S 2.86
Ca  0.5000  0.5000  0.0000  8 S 2.86
Ti  0.0000  0.0000  0.5000  8 S 2.86
Ti  0.0000  0.5000  0.0000  8 S 2.86
Ti  0.5000  0.0000  0.0000  8 S 2.86
Ti  0.5000  0.5000  0.5000  8 S 2.86
S  0.2500  0.2500  0.2500  4 Ca 2.86, 4 Ti 2.86
S  0.2500  0.2500  0.7500  4 Ca 2.86, 4 Ti 2.86
S  0.2500  0.7500  0.2500  4 Ca 2.86, 4 Ti 2.86
S  0.2500  0.7500  0.7500  4 Ca 2.86, 4 Ti 2.86
S  0.7500  0.2500  0.2500  4 Ca 2.86, 4 Ti 2.86
S  0.7500  0.2500  0.7500  4 Ca 2.86, 4 Ti 2.86
S  0.7500  0.7500  0.2500  4 Ca 2.86, 4 Ti 2.86
S  0.7500  0.7500  0.7500  4 Ca 2.86, 4 Ti 2.86

The following is a GGA-PBE calculation of an optimized crystal structure of NaLuAg2, from the Alexandria database.

## Properties
symmetry: P4/mmm
ΔE to the lowest computed polymorph: 0.000 eV/atom
ΔH_f (0 K): -0.1564 eV per atom
M_tot: 0.00 μB per atom

Cell: 3.5454 3.5454 7.4578 Å, 90.00 90.00 90.00°
With the nearest neighbours (Å) after each atom.
Fractional positions:
Na  0.0000  0.0000  0.0000  8 Ag 3.25, 4 Na 3.55
Lu  0.0000  0.0000  0.5000  8 Ag 3.01
Ag  0.5000  0.5000  0.2766  4 Lu 3.01, 4 Na 3.25, 1 Ag 3.33
Ag  0.5000  0.5000  0.7234  4 Lu 3.01, 4 Na 3.25, 1 Ag 3.33

The following is a GGA-PBE calculation of an optimized crystal structure of Y3ScSe6, from the Alexandria database.

## Properties
symmetry: R-3
formation energy (no corrections): -1816 meV/atom
ΔE to the lowest computed polymorph: 0.000 eV/atom
M_tot: 0.00 μB per atom

Cell: 8.2777 8.2777 8.2777 Å, 90.94 90.94 90.94°
With the nearest neighbours (Å) after each atom.
Fractional positions:
Y  0.0729  0.5807  0.7465  6 Se 2.83-2.93
Y  0.2535  0.9271  0.4193  6 Se 2.83-2.93
Y  0.4193  0.2535  0.9271  6 Se 2.83-2.93
Y  0.5807  0.7465  0.0729  6 Se 2.83-2.93
Y  0.7465  0.0729  0.5807  6 Se 2.83-2.93
Y  0.9271  0.4193  0.2535  6 Se 2.83-2.93
Sc  0.0000  0.0000  0.0000  6 Se 2.69
Sc  0.5000  0.5000  0.5000  6 Se 2.72
Se  0.0426  0.9148  0.6893  1 Sc 2.69, 3 Y 2.83-2.93
Se  0.0852  0.3107  0.9574  1 Sc 2.69, 3 Y 2.83-2.93
Se  0.1929  0.5814  0.4153  1 Sc 2.72, 3 Y 2.86-2.93
Se  0.3107  0.9574  0.0852  1 Sc 2.69, 3 Y 2.83-2.93
Se  0.4153  0.1929  0.5814  1 Sc 2.72, 3 Y 2.86-2.93
Se  0.4186  0.5847  0.8071  1 Sc 2.72, 3 Y 2.86-2.93
Se  0.5814  0.4153  0.1929  1 Sc 2.72, 3 Y 2.86-2.93
Se  0.5847  0.8071  0.4186  1 Sc 2.72, 3 Y 2.86-2.93
Se  0.6893  0.0426  0.9148  1 Sc 2.69, 3 Y 2.83-2.93
Se  0.8071  0.4186  0.5847  1 Sc 2.72, 3 Y 2.86-2.93
Se  0.9148  0.6893  0.0426  1 Sc 2.69, 3 Y 2.83-2.93
Se  0.9574  0.0852  0.3107  1 Sc 2.69, 3 Y 2.83-2.93